Here is Mo2PC after structural relaxation from Alexandria via LeMat-Bulk. Energies are from GGA-PBE.

a b c (Å): 4.0860 4.0860 4.0860
angles (deg): 60.00 60.00 60.00
With the nearest neighbours (Å) after each atom.
Fractional positions:
Mo: 0.2500 0.2500 0.2500  4 C 2.50, 4 P 2.50
Mo: 0.7500 0.7500 0.7500  4 C 2.50, 4 P 2.50
P: 0.0000 0.0000 0.0000  8 Mo 2.50
C: 0.5000 0.5000 0.5000  8 Mo 2.50

ρ = 8.09 g cm⁻³
distance to the lowest polymorph of the same formula = 0.44 kcal/mol of atoms
DFT total energy = -34.66 eV per formula unit
ΔH_f (0 K) = 0.409 eV per atom

---

Here is Pm5Tl2Sb after structural relaxation from Alexandria via LeMat-Bulk. Energies are from GGA-PBE.

a b c (Å): 7.3662 13.2123 5.1284
angles (deg): 90.00 90.00 90.00
With the nearest neighbours (Å) after each atom.
Fractional positions:
Pm: 0.0000 0.0000 0.0000  4 Tl 3.42, 6 Pm 3.65-3.78, 2 Sb 3.68
Pm: 0.1367 0.2754 0.0000  1 Sb 3.13, 4 Tl 3.29-3.49
Pm: 0.1867 0.5892 0.5000  2 Sb 3.14, 2 Tl 3.24-3.36
Pm: 0.3133 0.0892 0.5000  2 Sb 3.14, 2 Tl 3.24-3.36
Pm: 0.3633 0.7754 0.0000  1 Sb 3.13, 4 Tl 3.29-3.49
Pm: 0.5000 0.5000 0.0000  4 Tl 3.42, 6 Pm 3.65-3.78, 2 Sb 3.68
Pm: 0.6367 0.2246 0.0000  1 Sb 3.13, 4 Tl 3.29-3.49
Pm: 0.6867 0.9108 0.5000  2 Sb 3.14, 2 Tl 3.24-3.36
Pm: 0.8133 0.4108 0.5000  2 Sb 3.14, 2 Tl 3.24-3.36
Pm: 0.8633 0.7246 0.0000  1 Sb 3.13, 4 Tl 3.29-3.49
Tl: 0.1079 0.8400 0.5000  9 Pm 3.24-3.62
Tl: 0.3921 0.3400 0.5000  9 Pm 3.24-3.62
Tl: 0.6079 0.6600 0.5000  9 Pm 3.24-3.62
Tl: 0.8921 0.1600 0.5000  9 Pm 3.24-3.62
Sb: 0.0000 0.5000 0.0000  6 Pm 3.13-3.14
Sb: 0.5000 0.0000 0.0000  6 Pm 3.13-3.14

raw formation energy = -480 meV/atom
ρ = 8.35 g cm⁻³
DFT total energy = -36.45 eV per formula unit

---

Here is PuSiBr after structural relaxation from Alexandria via LeMat-Bulk. Energies are from GGA-PBE.

a b c (Å): 9.3662 9.3662 3.4368
angles (deg): 90.00 90.00 149.45
With the nearest neighbours (Å) after each atom.
Fractional positions:
Pu: 0.0453 0.9547 0.7500  2 Pu 2.37
Pu: 0.9547 0.0453 0.2500  2 Pu 2.37
Si: 0.4540 0.5460 0.7500  2 Si 2.39
Si: 0.5460 0.4540 0.2500  2 Si 2.39
Br: 0.1711 0.8289 0.2500  2 Pu 2.85
Br: 0.8289 0.1711 0.7500  2 Pu 2.85

raw formation energy = -426 meV/atom
ρ = 7.63 g cm⁻³
DFT total energy = -22.71 eV per formula unit

---

Here is Dy2Sc3Rh2 after structural relaxation from Alexandria via LeMat-Bulk. Energies are from GGA-PBE.

a b c (Å): 6.0072 6.0072 8.4784
angles (deg): 115.05 115.05 35.55
With the nearest neighbours (Å) after each atom.
Fractional positions:
Dy: 0.1565 0.1565 0.3017  2 Rh 2.85
Dy: 0.8435 0.8435 0.6983  2 Rh 2.85
Sc: 0.3804 0.3804 0.0666  3 Rh 2.69-2.78
Sc: 0.5000 0.5000 0.5000  4 Rh 2.76
Sc: 0.6196 0.6196 0.9334  3 Rh 2.69-2.78
Rh: 0.1669 0.1669 0.7365  5 Sc 2.69-2.78, 2 Dy 2.85
Rh: 0.8331 0.8331 0.2635  5 Sc 2.69-2.78, 2 Dy 2.85

ρ = 6.94 g cm⁻³
DFT total energy = -47.07 eV per formula unit
ΔH_f (0 K) = -0.595 eV per atom

---

Here is Ti3RhCl after structural relaxation from Alexandria via LeMat-Bulk. Energies are from GGA-PBE.

a b c (Å): 4.3811 4.3811 4.3811
angles (deg): 90.00 90.00 90.00
With the nearest neighbours (Å) after each atom.
Fractional positions:
Ti: 0.0000 0.0000 0.5000  2 Cl 2.19
Ti: 0.0000 0.5000 0.0000  2 Cl 2.19
Ti: 0.5000 0.0000 0.0000  2 Cl 2.19
Rh: 0.5000 0.5000 0.5000  12 Ti 3.10
Cl: 0.0000 0.0000 0.0000  6 Ti 2.19

raw formation energy = -12 meV/atom
ρ = 5.57 g cm⁻³
distance to the lowest polymorph of the same formula = 0.00 kcal/mol of atoms
DFT total energy = -32.94 eV per formula unit

---

Here is FeAsRh2 after structural relaxation from Alexandria via LeMat-Bulk. Energies are from GGA-PBE.

a b c (Å): 3.1623 3.1623 5.7319
angles (deg): 90.00 90.00 90.00
With the nearest neighbours (Å) after each atom.
Fractional positions:
Fe: 0.0000 0.0000 0.0000  8 Rh 2.64, 2 As 2.87
As: 0.0000 0.0000 0.5000  8 Rh 2.67, 2 Fe 2.87
Rh: 0.5000 0.5000 0.2446  4 Fe 2.64, 4 As 2.67, 2 Rh 2.80-2.93
Rh: 0.5000 0.5000 0.7554  4 Fe 2.64, 4 As 2.67, 2 Rh 2.80-2.93

ρ = 9.75 g cm⁻³
DFT total energy = -28.24 eV per formula unit
ΔH_f (0 K) = -0.105 eV per atom

---

| no. | spin magnetization (μB/cell) |
| --- | --- |
| 1 | 0.00 |
| 2 | 0.00 |
| 3 | 1.27 |
| 4 | 0.00 |
| 5 | 0.00 |
| 6 | 3.94 |